{
  "formula": "BeTcOs2",
  "functional": "PBE-GGA",
  "state": "optimized geometry",
  "total_magnetization_mub_per_cell": 0.0,
  "final_energy_ev_per_atom": -8.896,
  "volume_a3_per_atom": 13.379,
  "spacegroup": "F-43m, No. 216",
  "lattice_angstrom": [[0.000, 2.991, 2.991], [2.991, 0.000, 2.991], [2.991, 2.991, 0.000]],
  "species": ["Be", "Os", "Os", "Tc"],
  "fractional_positions": [[0.500, 0.500, 0.500], [0.750, 0.750, 0.750], [0.000, 0.000, 0.000], [0.250, 0.250, 0.250]]
}

=====

{
  "formula": "NiBiPt",
  "functional": "PBE-GGA",
  "state": "optimized geometry",
  "total_magnetization_mub_per_cell": 0.0,
  "volume_a3_per_atom": 17.507,
  "spacegroup": "P6_3/mmc, No. 194",
  "de_polymorph_ev_per_atom": 0.063,
  "lattice_angstrom": [[-0.558, 4.177, 1.948], [-2.770, -1.326, -3.481], [-3.605, -2.213, 3.712]],
  "species": ["Pt", "Ni", "Ni", "Bi", "Bi", "Pt"],
  "fractional_positions": [[0.000, 0.000, 0.500], [0.667, 0.333, 0.250], [0.333, 0.667, 0.750], [0.667, 0.333, 0.750], [0.333, 0.667, 0.250], [0.000, 0.000, 0.000]]
}

=====

{
  "formula": "Ho4BiS3",
  "functional": "PBE-GGA",
  "state": "optimized geometry",
  "total_magnetization_mub_per_cell": 0.0,
  "final_energy_ev_per_atom": -5.900,
  "volume_a3_per_atom": 23.552,
  "spacegroup": "I4/mmm, No. 139",
  "lattice_angstrom": [[-2.876, 2.876, 5.694], [2.876, -2.876, 5.694], [2.876, 2.876, -5.694]],
  "species": ["Ho", "Bi", "S", "Ho", "Ho", "Ho", "S", "S"],
  "fractional_positions": [[0.766, 0.766, 0.000], [0.500, 0.500, 0.000], [0.000, 0.000, 0.000], [0.500, 0.000, 0.500], [0.234, 0.234, 0.000], [0.000, 0.500, 0.500], [0.250, 0.750, 0.500], [0.750, 0.250, 0.500]]
}

=====

{
  "formula": "NdAgO3",
  "functional": "PBE-GGA",
  "state": "optimized geometry",
  "total_magnetization_mub_per_cell": 0.0,
  "final_energy_ev_per_atom": -5.944,
  "volume_a3_per_atom": 14.419,
  "spacegroup": "R-3, No. 148",
  "lattice_angstrom": [[-2.916, 5.051, 0.000], [2.916, 5.051, 0.000], [0.000, 3.367, -4.895]],
  "species": ["O", "O", "O", "Ag", "O", "Nd", "O", "Ag", "O", "Nd"],
  "fractional_positions": [[0.971, 0.548, 0.258], [0.223, 0.971, 0.258], [0.452, 0.777, 0.742], [0.851, 0.851, 0.448], [0.548, 0.223, 0.258], [0.370, 0.370, 0.890], [0.777, 0.029, 0.742], [0.149, 0.149, 0.552], [0.029, 0.452, 0.742], [0.630, 0.630, 0.110]]
}

=====

{
  "formula": "YCu2Ge",
  "functional": "PBE-GGA",
  "state": "optimized geometry",
  "total_magnetization_mub_per_cell": 0.0,
  "final_energy_ev_per_atom": -4.863,
  "volume_a3_per_atom": 17.187,
  "spacegroup": "F-43m, No. 216",
  "lattice_angstrom": [[-2.099, -4.065, 0.460], [-4.510, -0.365, -0.822], [-1.484, -2.256, -3.722]],
  "species": ["Ge", "Y", "Cu", "Cu"],
  "fractional_positions": [[0.500, 0.500, 0.500], [0.250, 0.250, 0.250], [0.000, 0.000, 0.000], [0.750, 0.750, 0.750]]
}

=====

{
  "formula": "ZrMoP",
  "functional": "PBE-GGA",
  "state": "optimized geometry",
  "total_magnetization_mub_per_cell": 0.0,
  "volume_a3_per_atom": 16.619,
  "spacegroup": "P6_3mc, No. 186",
  "de_polymorph_ev_per_atom": 0.566,
  "lattice_angstrom": [[4.367, 0.000, 0.000], [-2.184, 3.782, 0.000], [0.000, 0.000, 6.037]],
  "species": ["P", "Zr", "Mo", "Mo", "P", "Zr"],
  "fractional_positions": [[0.667, 0.333, 0.963], [0.000, 0.000, 0.244], [0.333, 0.667, 0.042], [0.667, 0.333, 0.542], [0.333, 0.667, 0.463], [0.000, 0.000, 0.744]]
}